Record 1
Below is a relaxed structure of Pm6Ho8Th, with properties calculated at the PBE level.

Geometry as CIF:
```
data_Pm6Ho8Th
_chemical_formula_sum 'Pm18 Ho24 Th3'
_space_group_name_H-M_alt 'R -3'
_space_group_IT_number 148
_space_group_name_Hall '-R 3'
_cell_length_a 9.0802
_cell_length_b 9.0802
_cell_length_c 20.8066
_cell_angle_alpha 90.00
_cell_angle_beta 90.00
_cell_angle_gamma 120.00
loop_
_atom_site_label
_atom_site_type_symbol
_atom_site_fract_x
_atom_site_fract_y
_atom_site_fract_z
Pm1 Pm 0.0598 0.8121 0.2105
Ho1 Ho 0.0000 0.0000 0.0771
Ho2 Ho 0.0814 0.5214 0.3055
Th1 Th 0.0000 0.0000 0.5000
```

Energy of formation ... 0.122 eV/atom
Total magnetic moment ... 0.01 Bohr magnetons per cell
Calculated density ... 8120 kg/m³

***

Record 2
Below is a relaxed structure of Nd8CdAg2, with properties calculated at the PBE level.

Geometry as CIF:
```
data_Nd8CdAg2
_chemical_formula_sum 'Nd16 Cd2 Ag4'
_space_group_name_H-M_alt 'C 1 2/m 1'
_space_group_IT_number 12
_cell_length_a 16.527
_cell_length_b 5.496
_cell_length_c 8.668
_cell_angle_alpha 90.00
_cell_angle_beta 120.63
_cell_angle_gamma 90.00
loop_
_space_group_symop_operation_xyz
'x,y,z'
'-x,-y,-z'
'-x,y,-z'
'x,-y,z'
'x+1/2,y+1/2,z'
'-x+1/2,-y+1/2,-z'
'-x+1/2,y+1/2,-z'
'x+1/2,-y+1/2,z'
loop_
_atom_site_label
_atom_site_type_symbol
_atom_site_fract_x
_atom_site_fract_y
_atom_site_fract_z
Nd1 Nd 0.070 0.000 0.224
Nd2 Nd 0.097 0.500 0.957
Nd3 Nd 0.141 0.000 0.699
Nd4 Nd 0.183 0.500 0.458
Cd1 Cd 0.000 0.500 0.500
Ag1 Ag 0.227 0.000 0.121
```

Energy of formation ... -0.121 eV/atom
Total magnetic moment ... 0.00 Bohr magnetons per cell
Calculated density ... 7266 kg/m³
E above lowest polymorph ... 0.0 kJ per mole of atoms

***

Record 3
Below is a relaxed structure of CeNd2YP4, with properties calculated at the PBE level.

Geometry as CIF:
```
data_CeNd2YP4
_chemical_formula_sum 'Ce1 Nd2 Y1 P4'
_space_group_name_H-M_alt 'P 1 2/m 1'
_space_group_IT_number 10
_cell_length_a 7.100
_cell_length_b 4.108
_cell_length_c 7.118
_cell_angle_alpha 90.00
_cell_angle_beta 109.38
_cell_angle_gamma 90.00
loop_
_space_group_symop_operation_xyz
'x,y,z'
'-x,-y,-z'
'-x,y,-z'
'x,-y,z'
loop_
_atom_site_label
_atom_site_type_symbol
_atom_site_fract_x
_atom_site_fract_y
_atom_site_fract_z
Ce1 Ce 0.000 0.000 0.000
Nd1 Nd 0.000 0.500 0.500
Nd2 Nd 0.500 0.000 0.500
Y1 Y 0.500 0.500 0.000
P1 P 0.247 0.500 0.241
P2 P 0.253 0.000 0.759
```

Energy of formation ... -1.556 eV/atom
Total magnetic moment ... 0.39 Bohr magnetons per cell
Calculated density ... 5440 kg/m³

***

Record 4
Below is a relaxed structure of La3Nd3Y2, with properties calculated at the PBE level.

Geometry as CIF:
```
data_La3Nd3Y2
_chemical_formula_sum 'La6 Nd6 Y4'
_space_group_name_H-M_alt 'I m m m'
_space_group_IT_number 71
_space_group_name_Hall '-I 2 2'
_cell_length_a 5.203
_cell_length_b 5.219
_cell_length_c 20.726
_cell_angle_alpha 90.00
_cell_angle_beta 90.00
_cell_angle_gamma 90.00
loop_
_atom_site_label
_atom_site_type_symbol
_atom_site_fract_x
_atom_site_fract_y
_atom_site_fract_z
La1 La 0.000 0.000 0.000
La2 La 0.000 0.500 0.126
Nd1 Nd 0.000 0.000 0.500
Nd2 Nd 0.000 0.500 0.372
Y1 Y 0.000 0.000 0.249
```

Energy of formation ... 0.019 eV/atom
Total magnetic moment ... 0.00 Bohr magnetons per cell
Calculated density ... 6061 kg/m³

***

Among the records above, which one has the lowest energy of formation? CeNd2YP4

***

Please write out number 4 again, unchanged.
Below is a relaxed structure of La3Nd3Y2, with properties calculated at the PBE level.

Geometry as CIF:
```
data_La3Nd3Y2
_chemical_formula_sum 'La6 Nd6 Y4'
_space_group_name_H-M_alt 'I m m m'
_space_group_IT_number 71
_space_group_name_Hall '-I 2 2'
_cell_length_a 5.203
_cell_length_b 5.219
_cell_length_c 20.726
_cell_angle_alpha 90.00
_cell_angle_beta 90.00
_cell_angle_gamma 90.00
loop_
_atom_site_label
_atom_site_type_symbol
_atom_site_fract_x
_atom_site_fract_y
_atom_site_fract_z
La1 La 0.000 0.000 0.000
La2 La 0.000 0.500 0.126
Nd1 Nd 0.000 0.000 0.500
Nd2 Nd 0.000 0.500 0.372
Y1 Y 0.000 0.000 0.249
```

Energy of formation ... 0.019 eV/atom
Total magnetic moment ... 0.00 Bohr magnetons per cell
Calculated density ... 6061 kg/m³

***

Which value of total magnetic moment does entry 2 give? 0.00 Bohr magnetons per cell

***

What did the second record say?
Below is a relaxed structure of Nd8CdAg2, with properties calculated at the PBE level.

Geometry as CIF:
```
data_Nd8CdAg2
_chemical_formula_sum 'Nd16 Cd2 Ag4'
_space_group_name_H-M_alt 'C 1 2/m 1'
_space_group_IT_number 12
_cell_length_a 16.527
_cell_length_b 5.496
_cell_length_c 8.668
_cell_angle_alpha 90.00
_cell_angle_beta 120.63
_cell_angle_gamma 90.00
loop_
_space_group_symop_operation_xyz
'x,y,z'
'-x,-y,-z'
'-x,y,-z'
'x,-y,z'
'x+1/2,y+1/2,z'
'-x+1/2,-y+1/2,-z'
'-x+1/2,y+1/2,-z'
'x+1/2,-y+1/2,z'
loop_
_atom_site_label
_atom_site_type_symbol
_atom_site_fract_x
_atom_site_fract_y
_atom_site_fract_z
Nd1 Nd 0.070 0.000 0.224
Nd2 Nd 0.097 0.500 0.957
Nd3 Nd 0.141 0.000 0.699
Nd4 Nd 0.183 0.500 0.458
Cd1 Cd 0.000 0.500 0.500
Ag1 Ag 0.227 0.000 0.121
```

Energy of formation ... -0.121 eV/atom
Total magnetic moment ... 0.00 Bohr magnetons per cell
Calculated density ... 7266 kg/m³
E above lowest polymorph ... 0.0 kJ per mole of atoms